Record 1
Below is AgS5Br after structural relaxation, with properties calculated at the PBE-GGA level.

```
AgS5Br
1.0
4.3781 0.0000 0.0000
1.3562 5.6349 0.0000
1.2294 2.4909 8.9435
Ag S Br
1 5 1
Cartesian
0.0000 0.0000 0.0000 Ag
1.9671 5.4036 4.9766 S
1.2946 3.3373 0.9240 S
3.4264 4.7473 3.6719 S
4.8905 6.2093 3.7491 S
4.0670 2.4592 0.2283 S
3.3797 2.6440 7.4985 Br
```

Computed properties:
Its space group is P1, No. 1. The value obtained for the uncorrected formation energy is 6 kJ/mol of atoms. The density of states at the Fermi level is 0.9 states/eV/f.u. Its raw total energy is -3.536 eV per atom. Its total magnetization is 0.00 μB per formula unit.

=====

Record 2
Below is Ag2SBr2 after structural relaxation, with properties calculated at the PBE-GGA level.

```
Ag2SBr2
1.0
4.3526 0.0000 0.0000
0.3641 6.5362 0.0000
0.4527 2.4050 9.9229
Ag S Br
4 2 4
Cartesian
0.3154 2.5728 3.5452 Ag
2.4976 5.8784 1.9719 Ag
2.6718 3.0629 7.9510 Ag
4.8540 6.3684 6.3776 Ag
0.7777 0.5770 0.1676 S
4.3917 8.3643 9.7553 S
0.4388 2.7288 6.2521 Br
2.6781 5.8453 7.8360 Br
2.4913 3.0960 2.0869 Br
4.7307 6.2125 3.6708 Br
```

Computed properties:
The energy above the most stable polymorph in this dataset is 0 meV/atom. Its space group is P-1, No. 2. The value obtained for the uncorrected formation energy is -20 kJ/mol of atoms. The density of states at the Fermi level is 1.5 states/eV/f.u. Its raw total energy is -2.844 eV per atom. Its total magnetization is 0.00 μB per formula unit.

=====

Record 3
Below is Ag7S2Br2 after structural relaxation, with properties calculated at the PBE-GGA level.

```
Ag7S2Br2
1.0
4.5227 -6.7406 0.0000
4.5227 6.7406 0.0000
-1.2225 0.0000 4.5792
Ag S Br
7 2 2
Cartesian
0.0000 0.0000 0.0000 Ag
3.4271 4.8352 2.4159 Ag
2.2465 1.7653 0.6172 Ag
1.0496 0.0000 2.8612 Ag
2.2465 -1.7653 0.6172 Ag
3.6880 0.0000 4.3710 Ag
3.4271 -4.8352 2.4159 Ag
3.3738 0.0000 1.8865 S
6.9654 0.0000 1.2984 S
4.5606 3.0082 3.8347 Br
4.5606 -3.0082 3.8347 Br
```

Computed properties:
The energy above the most stable polymorph in this dataset is 0 meV/atom. Its space group is Cm, No. 8. The value obtained for the uncorrected formation energy is -4 kJ/mol of atoms. The density of states at the Fermi level is 2.7 states/eV/f.u. Its raw total energy is -2.911 eV per atom. Its total magnetization is 0.00 μB per formula unit.

=====

Record 4
Below is AgSBr3 after structural relaxation, with properties calculated at the PBE-GGA level.

```
AgSBr3
1.0
5.3168 0.0000 0.0000
0.0000 5.3168 0.0000
0.0000 0.0000 5.3168
Ag S Br
1 1 3
Cartesian
0.0000 0.0000 0.0000 Ag
2.6584 2.6584 2.6584 S
0.0000 0.0000 2.6584 Br
0.0000 2.6584 0.0000 Br
2.6584 0.0000 0.0000 Br
```

Computed properties:
The energy above the most stable polymorph in this dataset is 602 meV/atom. Its space group is Pm-3m, No. 221. The value obtained for the uncorrected formation energy is 48 kJ/mol of atoms. The density of states at the Fermi level is 4.3 states/eV/f.u. Its raw total energy is -1.900 eV per atom. Its total magnetization is 2.83 μB per formula unit.